Entry 1:
In3Pb at its PBEsol-relaxed geometry, computed with SCAN.

Computed properties:
Energy of formation: 0.32 eV/f.u.

Cell lengths 3.618, 5.503, 10.677 Å; angles 90.00, 90.00, 90.00 degrees
Element x y z (fractional)
In1 0.000 0.000 0.000
In2 0.000 0.500 0.258
In3 0.000 0.500 0.742
In4 0.500 0.000 0.242
In5 0.500 0.000 0.758
In6 0.500 0.500 0.500
Pb1 0.000 0.000 0.500
Pb2 0.500 0.500 0.000

=====

Entry 2:
AlAuN3 at its PBEsol-relaxed geometry, computed with SCAN.

Computed properties:
ΔE_f (raw): 2.151 eV per atom

Cell lengths 3.988, 3.988, 3.988 Å; angles 90.00, 90.00, 90.00 degrees
Element x y z (fractional)
Al1 0.000 0.000 0.000
Au1 0.500 0.500 0.500
N1 0.000 0.500 0.500
N2 0.500 0.000 0.500
N3 0.500 0.500 0.000

=====

Entry 3:
CaYBr2 at its PBEsol-relaxed geometry, computed with SCAN.

Computed properties:
Energy above the most stable polymorph in this dataset: 0 meV/atom
ΔE_f (raw): -1.239 eV per atom

Cell lengths 3.712, 3.712, 29.838 Å; angles 90.00, 90.00, 120.00 degrees
Element x y z (fractional)
Ca1 0.000 0.000 0.000
Ca2 0.333 0.667 0.667
Ca3 0.667 0.333 0.333
Y1 0.000 0.000 0.500
Y2 0.333 0.667 0.167
Y3 0.667 0.333 0.833
Br1 0.000 0.000 0.101
Br2 0.000 0.000 0.899
Br3 0.333 0.667 0.566
Br4 0.333 0.667 0.767
Br5 0.667 0.333 0.233
Br6 0.667 0.333 0.434

=====

Entry 4:
Rb2NaMoCl6 at its PBEsol-relaxed geometry, computed with SCAN.

Computed properties:
ΔE_f (raw): -1.776 eV per atom

Cell lengths 7.220, 7.220, 7.220 Å; angles 60.00, 60.00, 60.00 degrees
Element x y z (fractional)
Rb1 0.250 0.250 0.250
Rb2 0.750 0.750 0.750
Na1 0.000 0.000 0.000
Mo1 0.500 0.500 0.500
Cl1 0.263 0.263 0.737
Cl2 0.263 0.737 0.263
Cl3 0.263 0.737 0.737
Cl4 0.737 0.263 0.263
Cl5 0.737 0.263 0.737
Cl6 0.737 0.737 0.263

=====

Entry 5:
Nb3CrNi at its PBEsol-relaxed geometry, computed with SCAN.

Computed properties:
Energy of formation: 4.51 eV/f.u.

Cell lengths 4.567, 4.567, 4.567 Å; angles 90.00, 90.00, 90.00 degrees
Element x y z (fractional)
Nb1 0.000 0.000 0.500
Nb2 0.000 0.500 0.000
Nb3 0.500 0.000 0.000
Cr1 0.500 0.500 0.500
Ni1 0.000 0.000 0.000

=====

Entry 6:
Zn2AgHg at its PBEsol-relaxed geometry, computed with SCAN.

Computed properties:
Energy of formation: 0.26 eV/f.u.

Cell lengths 3.275, 3.603, 5.635 Å; angles 90.00, 90.00, 90.00 degrees
Element x y z (fractional)
Zn1 0.000 0.000 0.000
Zn2 0.500 0.500 0.242
Ag1 0.000 0.000 0.466
Hg1 0.500 0.500 0.751